Below is a geometry-optimized LiSb2W structure, with properties calculated at the PBE level.

```
4
Lattice="3.3402 0.0000 0.0000 0.0000 3.3281 0.0095 0.0000 2.4751 7.5466" Properties=species:S:1:pos:R:3 pbc="T T T"
Li 1.6701 4.3524 5.6671
Sb 0.0000 3.0916 3.5493
Sb 0.0000 3.1381 0.2383
W 1.6701 1.4508 1.8890
```

Output
Energy relative to the elements, uncorrected: 85 meV/atom
DOS at the Fermi energy: 1.7 states/eV/f.u.
E: -5.693 eV per atom